No. 1
{"formula": "MgCd2Pb5", "functional": "GGA-PBE", "state": "optimized geometry", "lattice": [[5.042, -4.469, 0.000], [5.042, 4.469, 0.000], [-4.941, 0.000, 5.043]], "species": ["Mg", "Cd", "Cd", "Pb", "Pb", "Pb", "Pb", "Pb"], "fractional_positions": [[0.000, 0.000, 0.000], [0.562, 0.562, 0.056], [0.985, 0.985, 0.472], [0.046, 0.494, 0.518], [0.047, 0.485, 0.006], [0.485, 0.047, 0.006], [0.494, 0.046, 0.518], [0.557, 0.557, 0.553]], "formation_enthalpy_0k_kj_per_mol_fu": 21, "total_energy_ev_per_atom": -2.72}

***

No. 2
{"formula": "Li2CuPt", "functional": "GGA-PBE", "state": "optimized geometry", "lattice": [[1.373, 0.793, 8.999], [-1.373, 0.793, 8.999], [0.000, -1.586, 8.999]], "species": ["Li", "Li", "Cu", "Pt"], "fractional_positions": [[0.000, 0.000, 0.000], [0.235, 0.235, 0.235], [0.744, 0.744, 0.744], [0.492, 0.492, 0.492]], "formation_enthalpy_0k_kj_per_mol_fu": -69, "total_energy_ev_per_atom": -3.67}

***

No. 3
{"formula": "TlSb2Mo", "functional": "GGA-PBE", "state": "optimized geometry", "lattice": [[-2.749, 2.749, 3.069], [2.749, -2.749, 3.069], [2.749, 2.749, -3.069]], "species": ["Tl", "Sb", "Sb", "Mo"], "fractional_positions": [[0.000, 0.000, 0.000], [0.250, 0.750, 0.500], [0.750, 0.250, 0.500], [0.500, 0.500, 0.000]], "formation_energy_uncorrected_ev_per_atom": 0.57, "total_energy_ev_per_atom": -4.79}

***

| no. | magnetic moment (μB/f.u.) |
| --- | --- |
| 1 | 0.00 |
| 2 | 0.00 |
| 3 | 0.89 |